Entry from Alexandria via LeMat-Bulk: crystalline LaPm2Nd4Er at its relaxed geometry (PBE).

## Properties
Its calculated density is 7.01 Mg/m³. The calculation puts the total DFT energy (no corrections) at -37.93 eV/cell. For the energy of formation, the calculation gives 0.4 kcal/mol of atoms. The calculation puts the magnetization at 0.002 μB per formula unit.

Unit cell a=3.6747 b=12.1693 c=6.3104 alpha=79.76 beta=90.00 gamma=90.00
With the nearest neighbours (Å) after each atom.
Sites, in units of the cell vectors:
Er 0.0000 0.5000 0.5000  6 Nd 3.65-3.67, 4 La 3.65, 2 Er 3.67
Nd 0.5000 0.7484 0.2502  6 Nd 3.64-3.67, 2 Er 3.65, 1 La 3.65, 3 Pm 3.68-3.69
Nd 0.0000 0.7508 0.7480  6 Nd 3.64-3.67, 3 Pm 3.65-3.67, 1 Er 3.67, 2 La 3.67
Nd 0.0000 0.2492 0.2520  6 Nd 3.64-3.67, 3 Pm 3.65-3.67, 1 Er 3.67, 2 La 3.67
Nd 0.5000 0.2516 0.7498  6 Nd 3.64-3.67, 2 Er 3.65, 1 La 3.65, 3 Pm 3.68-3.69
Pm 0.0000 0.0000 0.0000  6 Pm 3.65-3.67, 6 Nd 3.67-3.68
Pm 0.5000 0.0000 0.5000  6 Pm 3.65-3.67, 6 Nd 3.65-3.69
La 0.5000 0.5000 0.0000  6 Nd 3.65-3.67, 4 Er 3.65, 2 La 3.67

Entry from Alexandria via LeMat-Bulk: crystalline LaPm2Nd6Er at its relaxed geometry (PBE).

## Properties
Its calculated density is 6.90 Mg/m³. The calculation puts the total DFT energy (no corrections) at -92.99 eV/cell. For the energy of formation, the calculation gives 2.5 kcal/mol of atoms. The calculation puts the magnetization at 0.001 μB per formula unit.

Unit cell a=9.8702 b=9.0132 c=9.0132 alpha=117.79 beta=93.94 gamma=93.94
With the nearest neighbours (Å) after each atom.
Sites, in units of the cell vectors:
Pm 0.9548 0.7014 0.8020  5 Nd 3.32-3.61, 2 La 3.45-3.50, 1 Er 3.61
Pm 0.4548 0.8020 0.7014  5 Nd 3.32-3.61, 2 La 3.45-3.50, 1 Er 3.61
Pm 0.5452 0.1980 0.2986  5 Nd 3.32-3.61, 2 La 3.45-3.50, 1 Er 3.61
Pm 0.0452 0.2986 0.1980  5 Nd 3.32-3.61, 2 La 3.45-3.50, 1 Er 3.61
Nd 0.6870 0.0132 0.5666  3 Nd 3.35-3.75, 1 Pm 3.51, 1 Er 3.51, 1 La 3.68
Nd 0.9451 0.8798 0.2515  7 Nd 3.49-3.88, 1 Pm 3.61, 1 La 3.75
Nd 0.1870 0.5666 0.0132  3 Nd 3.35-3.75, 1 Pm 3.51, 1 Er 3.51, 1 La 3.68
Nd 0.3130 0.9868 0.4334  3 Nd 3.35-3.75, 1 Pm 3.51, 1 Er 3.51, 1 La 3.68
Nd 0.4451 0.2515 0.8798  7 Nd 3.49-3.88, 1 Pm 3.61, 1 La 3.75
Nd 0.8130 0.4334 0.9868  3 Nd 3.35-3.75, 1 Pm 3.51, 1 Er 3.51, 1 La 3.68
Nd 0.3818 0.5066 0.2956  3 Pm 3.32-3.54, 4 Nd 3.35-3.64, 2 Er 3.47-3.64
Nd 0.0549 0.1202 0.7485  7 Nd 3.49-3.88, 1 Pm 3.61, 1 La 3.75
Nd 0.8818 0.2956 0.5066  3 Pm 3.32-3.54, 4 Nd 3.35-3.64, 2 Er 3.47-3.64
Nd 0.1182 0.7044 0.4934  3 Pm 3.32-3.54, 4 Nd 3.35-3.64, 2 Er 3.47-3.64
Nd 0.5549 0.7485 0.1202  7 Nd 3.49-3.88, 1 Pm 3.61, 1 La 3.75
Nd 0.6182 0.4934 0.7044  3 Pm 3.32-3.54, 4 Nd 3.35-3.64, 2 Er 3.47-3.64
La 0.7500 0.0217 0.9783  4 Pm 3.45-3.50, 4 Nd 3.68-3.75
La 0.2500 0.9783 0.0217  4 Pm 3.45-3.50, 4 Nd 3.68-3.75
Er 0.2500 0.4091 0.5909  6 Nd 3.47-3.64, 2 Pm 3.61
Er 0.7500 0.5909 0.4091  6 Nd 3.47-3.64, 2 Pm 3.61

Entry from Alexandria via LeMat-Bulk: crystalline La3PmNdEr at its relaxed geometry (PBE).

## Properties
Its calculated density is 6.85 Mg/m³. The calculation puts the total DFT energy (no corrections) at -57.44 eV/cell. For the energy of formation, the calculation gives 0.6 kcal/mol of atoms. The calculation puts the magnetization at 0.000 μB per formula unit.

Unit cell a=5.2399 b=8.1686 c=11.0136 alpha=116.17 beta=90.00 gamma=90.00
With the nearest neighbours (Å) after each atom.
Sites, in units of the cell vectors:
La 0.7500 0.8752 0.0438  3 Pm 3.65-3.70, 1 Er 3.67, 3 Nd 3.69-3.73, 5 La 3.70-3.72
La 0.2500 0.1248 0.9562  3 Pm 3.65-3.70, 1 Er 3.67, 3 Nd 3.69-3.73, 5 La 3.70-3.72
La 0.2500 0.6203 0.7911  1 Er 3.66, 3 Pm 3.67, 6 La 3.69-3.72, 2 Nd 3.73
La 0.7500 0.3797 0.2089  1 Er 3.66, 3 Pm 3.67, 6 La 3.69-3.72, 2 Nd 3.73
La 0.7500 0.3697 0.5409  3 Er 3.60-3.66, 1 Pm 3.65, 3 Nd 3.67-3.72, 5 La 3.69-3.73
La 0.2500 0.6303 0.4591  3 Er 3.60-3.66, 1 Pm 3.65, 3 Nd 3.67-3.72, 5 La 3.69-3.73
Er 0.2500 0.1210 0.6218  5 La 3.60-3.67, 3 Nd 3.61-3.65, 2 Er 3.65, 2 Pm 3.70
Er 0.7500 0.8790 0.3782  5 La 3.60-3.67, 3 Nd 3.61-3.65, 2 Er 3.65, 2 Pm 3.70
Pm 0.7500 0.3700 0.8728  1 Nd 3.61, 7 La 3.65-3.70, 2 Er 3.70, 2 Pm 3.74
Pm 0.2500 0.6300 0.1272  1 Nd 3.61, 7 La 3.65-3.70, 2 Er 3.70, 2 Pm 3.74
Nd 0.2500 0.1224 0.2941  1 Pm 3.61, 3 Er 3.61-3.65, 8 La 3.67-3.73
Nd 0.7500 0.8776 0.7059  1 Pm 3.61, 3 Er 3.61-3.65, 8 La 3.67-3.73

Entry from Alexandria via LeMat-Bulk: crystalline La2PmNdEr5 at its relaxed geometry (PBE).

## Properties
Its calculated density is 7.85 Mg/m³. The calculation puts the total DFT energy (no corrections) at -79.97 eV/cell. For the energy of formation, the calculation gives 5.6 kcal/mol of atoms. The calculation puts the magnetization at 0.000 μB per formula unit.

Unit cell a=8.6799 b=8.6799 c=9.9847 alpha=115.76 beta=115.76 gamma=90.00
With the nearest neighbours (Å) after each atom.
Sites, in units of the cell vectors:
Er 0.4268 0.3536 0.2803  1 La 3.03, 1 Nd 3.14
Er 0.0732 0.5732 0.7197  1 La 3.03, 1 Nd 3.14
Er 0.3536 0.8536 0.2803  1 La 3.03, 1 Nd 3.14
Er 0.1464 0.0732 0.7197  1 La 3.03, 1 Nd 3.14
Er 0.5732 0.6464 0.7197  1 La 3.03, 1 Nd 3.14
Er 0.8536 0.9268 0.2803  1 La 3.03, 1 Nd 3.14
Er 0.5000 0.5000 0.0000  4 La 3.47, 8 Er 3.81
Er 0.0000 0.0000 0.0000  4 La 3.47, 8 Er 3.81
Er 0.9268 0.4268 0.2803  1 La 3.03, 1 Nd 3.14
Er 0.6464 0.1464 0.7197  1 La 3.03, 1 Nd 3.14
La 0.6175 0.1175 0.0000  1 La 2.88, 2 Er 3.03
La 0.8825 0.6175 0.0000  1 La 2.88, 2 Er 3.03
La 0.3825 0.8825 0.0000  1 La 2.88, 2 Er 3.03
La 0.1175 0.3825 0.0000  1 La 2.88, 2 Er 3.03
Nd 0.7500 0.2500 0.5000  4 Er 3.14
Nd 0.2500 0.7500 0.5000  4 Er 3.14
Pm 0.2500 0.2500 0.5000  10 Er 3.55-3.94
Pm 0.7500 0.7500 0.5000  10 Er 3.55-3.94

Entry from Alexandria via LeMat-Bulk: crystalline LaPm2Nd4Er2 at its relaxed geometry (PBE).

## Properties
Its calculated density is 7.22 Mg/m³. The calculation puts the total DFT energy (no corrections) at -42.44 eV/cell. For the energy of formation, the calculation gives 0.5 kcal/mol of atoms. The calculation puts the magnetization at 0.001 μB per formula unit.

Unit cell a=5.1580 b=8.1551 c=8.1390 alpha=107.48 beta=90.00 gamma=108.44
With the nearest neighbours (Å) after each atom.
Sites, in units of the cell vectors:
Nd 0.5554 0.1108 0.3322  2 La 3.64, 4 Pm 3.65, 4 Nd 3.65-3.66, 2 Er 3.66-3.67
Nd 0.7777 0.5554 0.6702  3 Er 3.58-3.63, 1 La 3.63, 3 Pm 3.63-3.67, 5 Nd 3.65-3.68
Nd 0.2223 0.4446 0.3298  3 Er 3.58-3.63, 1 La 3.63, 3 Pm 3.63-3.67, 5 Nd 3.65-3.68
Nd 0.4446 0.8892 0.6678  2 La 3.64, 4 Pm 3.65, 4 Nd 3.65-3.66, 2 Er 3.66-3.67
La 0.0000 0.0000 0.0000  6 Nd 3.63-3.64, 2 Pm 3.64, 4 Er 3.67
Pm 0.8883 0.7766 0.3327  3 Er 3.62-3.63, 7 Nd 3.63-3.67, 1 La 3.64, 1 Pm 3.66
Pm 0.1117 0.2234 0.6673  3 Er 3.62-3.63, 7 Nd 3.63-3.67, 1 La 3.64, 1 Pm 3.66
Er 0.3311 0.6622 0.0012  5 Nd 3.58-3.67, 2 Er 3.59, 3 Pm 3.62-3.63, 2 La 3.67
Er 0.6689 0.3378 0.9988  5 Nd 3.58-3.67, 2 Er 3.59, 3 Pm 3.62-3.63, 2 La 3.67

Entry from Alexandria via LeMat-Bulk: crystalline La2Pm6NdEr3 at its relaxed geometry (PBE).

## Properties
Its calculated density is 7.31 Mg/m³. The calculation puts the total DFT energy (no corrections) at -56.56 eV/cell. For the energy of formation, the calculation gives 0.5 kcal/mol of atoms. The calculation puts the magnetization at 0.000 μB per formula unit.

Unit cell a=6.3044 b=6.3044 c=12.0296 alpha=95.02 beta=95.02 gamma=120.04
With the nearest neighbours (Å) after each atom.
Sites, in units of the cell vectors:
Er 0.5000 0.5000 0.5000  6 Pm 3.57, 6 Er 3.64
Er 0.1665 0.8335 0.5000  6 Pm 3.57, 6 Er 3.64
Er 0.8335 0.1665 0.5000  6 Pm 3.57, 6 Er 3.64
La 0.6666 0.3334 0.0000  3 Nd 3.64, 3 La 3.64, 6 Pm 3.69-3.70
La 0.3334 0.6666 0.0000  3 Nd 3.64, 3 La 3.64, 6 Pm 3.69-3.70
Pm 0.7529 0.7529 0.2564  3 Er 3.57, 6 Pm 3.63-3.64, 1 Nd 3.69, 2 La 3.69
Pm 0.9141 0.5812 0.7434  3 Er 3.57, 6 Pm 3.63-3.64, 1 Nd 3.69, 2 La 3.69-3.70
Pm 0.4188 0.0859 0.2566  3 Er 3.57, 6 Pm 3.63-3.64, 1 Nd 3.69, 2 La 3.69-3.70
Pm 0.0859 0.4188 0.2566  3 Er 3.57, 6 Pm 3.63-3.64, 1 Nd 3.69, 2 La 3.69-3.70
Pm 0.2471 0.2471 0.7436  3 Er 3.57, 6 Pm 3.63-3.64, 1 Nd 3.69, 2 La 3.69
Pm 0.5812 0.9141 0.7434  3 Er 3.57, 6 Pm 3.63-3.64, 1 Nd 3.69, 2 La 3.69-3.70
Nd 0.0000 0.0000 0.0000  6 La 3.64, 6 Pm 3.69

Entry from Alexandria via LeMat-Bulk: crystalline La5Pm2NdEr at its relaxed geometry (PBE).

## Properties
Its calculated density is 6.66 Mg/m³. The calculation puts the total DFT energy (no corrections) at -82.09 eV/cell. For the energy of formation, the calculation gives 6.2 kcal/mol of atoms. The calculation puts the magnetization at 0.000 μB per formula unit.

Unit cell a=9.1653 b=9.1653 c=10.0561 alpha=117.11 beta=117.11 gamma=90.00
With the nearest neighbours (Å) after each atom.
Sites, in units of the cell vectors:
La 0.0694 0.5694 0.7210  1 Pm 3.14, 1 Er 3.20
La 0.5694 0.6515 0.7210  1 Pm 3.14, 1 Er 3.20
La 0.8485 0.9306 0.2790  1 Pm 3.14, 1 Er 3.20
La 0.4306 0.3485 0.2790  1 Pm 3.14, 1 Er 3.20
La 0.1515 0.0694 0.7210  1 Pm 3.14, 1 Er 3.20
La 0.5000 0.5000 0.0000  4 Pm 3.69, 2 Nd 3.84, 8 La 3.92
La 0.9306 0.4306 0.2790  1 Pm 3.14, 1 Er 3.20
La 0.6515 0.1515 0.7210  1 Pm 3.14, 1 Er 3.20
La 0.0000 0.0000 0.0000  4 Pm 3.69, 2 Nd 3.84, 8 La 3.92
La 0.3485 0.8485 0.2790  1 Pm 3.14, 1 Er 3.20
Er 0.2500 0.7500 0.5000  4 La 3.20
Er 0.7500 0.2500 0.5000  4 La 3.20
Pm 0.8862 0.6138 0.0000  1 Pm 2.95, 2 La 3.14
Pm 0.1138 0.3862 0.0000  1 Pm 2.95, 2 La 3.14
Pm 0.6138 0.1138 0.0000  1 Pm 2.95, 2 La 3.14
Pm 0.3862 0.8862 0.0000  1 Pm 2.95, 2 La 3.14
Nd 0.2500 0.2500 0.5000  10 La 3.70-3.84
Nd 0.7500 0.7500 0.5000  10 La 3.70-3.84

Entry from Alexandria via LeMat-Bulk: crystalline La2PrNdEr2 at its relaxed geometry (PBE).

## Properties
Its calculated density is 7.23 Mg/m³. The calculation puts the total DFT energy (no corrections) at -56.80 eV/cell. For the energy of formation, the calculation gives 0.5 kcal/mol of atoms. The calculation puts the magnetization at 0.000 μB per formula unit.

Unit cell a=5.1842 b=7.2576 c=10.9617 alpha=90.00 beta=90.00 gamma=90.00
With the nearest neighbours (Å) after each atom.
Sites, in units of the cell vectors:
Er 0.0000 0.8816 0.1710  1 Nd 3.57, 7 La 3.63-3.71, 2 Pr 3.63, 2 Er 3.64
Er 0.5000 0.6339 0.6668  3 Pr 3.62-3.64, 3 La 3.63-3.64, 4 Nd 3.63-3.68, 2 Er 3.64
Er 0.5000 0.1339 0.3332  3 Pr 3.62-3.64, 3 La 3.63-3.64, 4 Nd 3.63-3.68, 2 Er 3.64
Er 0.0000 0.3816 0.8290  1 Nd 3.57, 7 La 3.63-3.71, 2 Pr 3.63, 2 Er 3.64
La 0.5000 0.1285 0.0023  5 Er 3.63-3.70, 6 La 3.63-3.66, 1 Pr 3.70
La 0.5000 0.6285 0.9977  5 Er 3.63-3.70, 6 La 3.63-3.66, 1 Pr 3.70
La 0.0000 0.8820 0.8323  5 Er 3.63-3.71, 4 La 3.66, 2 Pr 3.66, 1 Nd 3.68
La 0.0000 0.3820 0.1677  5 Er 3.63-3.71, 4 La 3.66, 2 Pr 3.66, 1 Nd 3.68
Nd 0.0000 0.8864 0.4970  5 Er 3.57-3.68, 2 Nd 3.63, 4 Pr 3.64-3.65, 1 La 3.68
Nd 0.0000 0.3864 0.5030  5 Er 3.57-3.68, 2 Nd 3.63, 4 Pr 3.64-3.65, 1 La 3.68
Pr 0.5000 0.6332 0.3348  5 Er 3.62-3.64, 4 Nd 3.64-3.65, 3 La 3.66-3.70
Pr 0.5000 0.1332 0.6652  5 Er 3.62-3.64, 4 Nd 3.64-3.65, 3 La 3.66-3.70

Entry from Alexandria via LeMat-Bulk: crystalline La3PrNdEr at its relaxed geometry (PBE).

## Properties
Its calculated density is 6.72 Mg/m³. The calculation puts the total DFT energy (no corrections) at -56.09 eV/cell. For the energy of formation, the calculation gives 3.3 kcal/mol of atoms. The calculation puts the magnetization at 0.000 μB per formula unit.

Unit cell a=5.9301 b=10.9264 c=6.8887 alpha=90.92 beta=90.00 gamma=105.75
With the nearest neighbours (Å) after each atom.
Sites, in units of the cell vectors:
Nd 0.0588 0.1176 0.2635  3 La 3.36-3.37, 2 Er 3.74
Nd 0.9412 0.8824 0.7365  3 La 3.36-3.37, 2 Er 3.74
La 0.7807 0.5614 0.7256  3 Er 3.35-3.68, 1 Nd 3.37, 3 Pr 3.49-3.73, 1 La 3.55
La 0.5162 0.0323 0.7518  1 Er 3.27, 1 Pr 3.32, 2 Nd 3.36, 2 La 3.50-3.52
La 0.1601 0.3202 0.7547  2 Pr 3.51, 2 Er 3.53, 4 La 3.55-3.91
La 0.2193 0.4386 0.2744  3 Er 3.35-3.68, 1 Nd 3.37, 3 Pr 3.49-3.73, 1 La 3.55
La 0.8399 0.6798 0.2453  2 Pr 3.51, 2 Er 3.53, 4 La 3.55-3.91
La 0.4838 0.9677 0.2482  1 Er 3.27, 1 Pr 3.32, 2 Nd 3.36, 2 La 3.50-3.52
Er 0.6419 0.2838 0.4802  1 Pr 3.15, 2 La 3.27-3.35
Er 0.3581 0.7162 0.5198  1 Pr 3.15, 2 La 3.27-3.35
Pr 0.6483 0.2965 0.0231  1 Er 3.15, 4 La 3.32-3.51
Pr 0.3517 0.7035 0.9769  1 Er 3.15, 4 La 3.32-3.51

Number 9 is which compound?
La3PrNdEr